The following is a DFT calculation (PBE-GGA) of SeI2Cl after structural relaxation.

abc: 5.427 7.520 9.692
angles: 86.70 79.01 87.58
Element x y z (fractional)
1 I 0.228 0.509 0.004
2 I 0.066 0.483 0.444
3 I 0.331 0.156 0.482
4 I 0.146 0.982 0.775
5 Cl 0.471 0.126 0.047
6 Cl 0.835 0.790 0.376
7 Se 0.166 0.965 0.197
8 Se 0.987 0.814 0.025

Results
E_form (uncorrected)   -91 meV/atom

***

The following is a DFT calculation (PBE-GGA) of PuGa3Br6 after structural relaxation.

abc: 7.596 8.359 10.997
angles: 90.00 92.34 90.00
Element x y z (fractional)
1 Br 0.176 0.330 0.542
2 Br 0.353 0.566 0.259
3 Br 0.178 0.281 0.914
4 Br 0.322 0.781 0.586
5 Br 0.678 0.219 0.414
6 Br 0.853 0.934 0.759
7 Br 0.147 0.066 0.241
8 Br 0.824 0.670 0.458
9 Br 0.676 0.170 0.042
10 Br 0.324 0.830 0.958
11 Br 0.647 0.434 0.741
12 Br 0.822 0.719 0.086
13 Ga 0.014 0.592 0.704
14 Ga 0.486 0.092 0.796
15 Ga 0.514 0.908 0.204
16 Ga 0.500 0.500 0.000
17 Ga 0.000 0.000 0.500
18 Ga 0.986 0.408 0.296
19 Pu 0.000 0.000 0.000
20 Pu 0.500 0.500 0.500

Results
E_form (uncorrected)   -920 meV/atom

***

The following is a DFT calculation (PBE-GGA) of Ac2TiSn4Pd3 after structural relaxation.

abc: 4.567 4.567 11.664
angles: 90.00 90.00 90.00
Element x y z (fractional)
1 Ti 0.500 0.500 0.500
2 Sn 0.500 0.500 0.000
3 Sn 0.000 0.500 0.366
4 Sn 0.500 0.000 0.634
5 Sn 0.000 0.000 0.000
6 Ac 0.500 0.000 0.247
7 Ac 0.000 0.500 0.753
8 Pd 0.000 0.000 0.500
9 Pd 0.500 0.000 0.868
10 Pd 0.000 0.500 0.132

***

Raw total energy readings, ordered: -2.199, -4.265, -5.494 eV/atom